Material: Ti2GeP
Method: DFT, GGA-PBE
State: optimized geometry

Cell lengths 3.5619, 3.5627, 6.3216 Å; angles 106.34, 90.00, 119.99 degrees
Last column: nearest neighbours and their distance in Å.
Positions (direct):
1 Ti 0.2563 0.0125 0.2687  3 P 2.48, 3 Ge 2.61
2 P 0.0000 0.5000 0.5000  6 Ti 2.48
3 Ge 0.5000 0.5000 0.0000  6 Ti 2.61
4 Ti 0.7437 0.9875 0.7313  3 P 2.48, 3 Ge 2.61

Summary:
The space-group type is No. 166. The calculation puts the total energy at -29.0 eV per cell. The formation energy is -796 meV per atom. The energy relative to the lowest polymorph listed for this composition is 0.0000 eV/atom. For the volume, the calculation gives 65.71 Å³/cell.

Material: ScBeIn2
Method: DFT, GGA-PBE
State: optimized geometry

Cell lengths 3.2996, 3.2993, 7.2418 Å; angles 90.00, 90.00, 90.00 degrees
Last column: nearest neighbours and their distance in Å.
Positions (direct):
1 Be 0.5000 0.5000 0.7500  8 In 2.80
2 Sc 0.5000 0.5000 0.2500  8 In 3.12, 4 Sc 3.30
3 In 0.0000 0.0000 0.9630  4 Be 2.80, 1 In 3.09, 4 Sc 3.12
4 In 0.0000 0.0000 0.5370  4 Be 2.80, 1 In 3.09, 4 Sc 3.12

Summary:
The space-group type is No. 123. The calculation puts the total energy at -15.3 eV per cell. The formation energy is 66 meV per atom. For the volume, the calculation gives 78.84 Å³/cell.

Material: Pm12GeAu6
Method: DFT, GGA-PBE
State: optimized geometry

Cell lengths 8.6631, 8.6631, 8.6631 Å; angles 99.69, 99.69, 99.69 degrees
Last column: nearest neighbours and their distance in Å.
Positions (direct):
1 Ge 0.0000 0.0000 0.0000  6 Pm 2.90
2 Pm 0.3224 0.0774 0.9441  1 Ge 2.90, 2 Au 2.97-3.01
3 Pm 0.9441 0.3224 0.0774  1 Ge 2.90, 2 Au 2.97-3.01
4 Pm 0.0774 0.9441 0.3224  1 Ge 2.90, 2 Au 2.97-3.01
5 Au 0.1368 0.6154 0.3128  6 Pm 2.94-3.12
6 Au 0.8632 0.3846 0.6872  6 Pm 2.94-3.12
7 Pm 0.1791 0.4219 0.5794  4 Au 2.94-3.12
8 Pm 0.6776 0.9226 0.0559  1 Ge 2.90, 2 Au 2.97-3.01
9 Au 0.6154 0.3128 0.1368  6 Pm 2.94-3.12
10 Pm 0.0559 0.6776 0.9226  1 Ge 2.90, 2 Au 2.97-3.01
11 Pm 0.5794 0.1791 0.4219  4 Au 2.94-3.12
12 Pm 0.8209 0.5781 0.4206  4 Au 2.94-3.12
13 Au 0.3128 0.1368 0.6154  6 Pm 2.94-3.12
14 Pm 0.5781 0.4206 0.8209  4 Au 2.94-3.12
15 Pm 0.4206 0.8209 0.5781  4 Au 2.94-3.12
16 Au 0.6872 0.8632 0.3846  6 Pm 2.94-3.12
17 Pm 0.4219 0.5794 0.1791  4 Au 2.94-3.12
18 Au 0.3846 0.6872 0.8632  6 Pm 2.94-3.12
19 Pm 0.9226 0.0559 0.6776  1 Ge 2.90, 2 Au 2.97-3.01

Summary:
The space-group type is No. 148. The calculation puts the total energy at -89.5 eV per cell. The formation energy is -434 meV per atom. For the volume, the calculation gives 618.63 Å³/cell.

Material: Pa2BeCo3Si4
Method: DFT, GGA-PBE
State: optimized geometry

Cell lengths 3.9255, 3.9255, 9.4552 Å; angles 90.00, 90.00, 90.00 degrees
Last column: nearest neighbours and their distance in Å.
Positions (direct):
1 Pa 0.5000 0.0000 0.2509  6 Co 3.00-3.07, 8 Si 3.00-3.08, 2 Be 3.07
2 Si 0.5000 0.5000 0.0000  4 Co 2.32
3 Si 0.5000 0.0000 0.6285  3 Co 2.28-2.31, 2 Be 2.31
4 Si 0.0000 0.5000 0.3715  3 Co 2.28-2.31, 2 Be 2.31
5 Co 0.5000 0.0000 0.8696  5 Si 2.28-2.32
6 Co 0.0000 0.5000 0.1304  5 Si 2.28-2.32
7 Co 0.0000 0.0000 0.5000  4 Si 2.31
8 Pa 0.0000 0.5000 0.7491  6 Co 3.00-3.07, 8 Si 3.00-3.08, 2 Be 3.07
9 Si 0.0000 0.0000 0.0000  4 Co 2.32
10 Be 0.5000 0.5000 0.5000  4 Si 2.31

Summary:
The space-group type is No. 115. The calculation puts the total energy at -72.8 eV per cell. For the volume, the calculation gives 145.70 Å³/cell.

Material: CaPm2In2Ag2
Method: DFT, GGA-PBE
State: optimized geometry

Cell lengths 4.9076, 4.9076, 9.6546 Å; angles 75.28, 75.28, 60.00 degrees
Last column: nearest neighbours and their distance in Å.
Positions (direct):
1 Ag 0.4020 0.4020 0.7941  3 In 2.84
2 Pm 0.1265 0.1265 0.6205  3 In 3.18, 3 Ag 3.26, 1 Ca 3.50
3 Ag 0.5980 0.5980 0.2059  3 In 2.84
4 In 0.7407 0.7407 0.7779  3 Ag 2.84
5 Pm 0.8735 0.8735 0.3795  3 In 3.18, 3 Ag 3.26, 1 Ca 3.50
6 In 0.2593 0.2593 0.2221  3 Ag 2.84
7 Ca 0.0000 0.0000 0.0000  6 Ag 3.41, 6 In 3.50, 2 Pm 3.50

Summary:
The space-group type is No. 166. The calculation puts the total energy at -24.7 eV per cell. The formation energy is -287 meV per atom. For the volume, the calculation gives 192.51 Å³/cell.

Material: TbZrHgRh
Method: DFT, GGA-PBE
State: optimized geometry

Cell lengths 4.9472, 4.9472, 4.9472 Å; angles 60.00, 60.00, 60.00 degrees
Last column: nearest neighbours and their distance in Å.
Positions (direct):
1 Zr 0.2500 0.2500 0.2500  4 Hg 3.03, 4 Rh 3.03
2 Rh 0.5000 0.5000 0.5000  4 Zr 3.03, 4 Tb 3.03
3 Hg 0.0000 0.0000 0.0000  4 Tb 3.03, 4 Zr 3.03
4 Tb 0.7500 0.7500 0.7500  4 Rh 3.03, 4 Hg 3.03

Summary:
The space-group type is No. 216. The calculation puts the total energy at -22.5 eV per cell. The formation energy is -415 meV per atom. For the volume, the calculation gives 85.62 Å³/cell.

Material: Ho2AlBi
Method: DFT, GGA-PBE
State: optimized geometry

Cell lengths 4.1843, 4.1843, 8.0778 Å; angles 74.99, 74.99, 60.00 degrees
Last column: nearest neighbours and their distance in Å.
Positions (direct):
1 Ho 0.7504 0.7504 0.7489  3 Bi 3.08, 3 Al 3.10
2 Ho 0.2496 0.2496 0.2511  3 Bi 3.08, 3 Al 3.10
3 Bi 0.5000 0.5000 0.5000  6 Ho 3.08
4 Al 0.0000 0.0000 0.0000  6 Ho 3.10

Summary:
The space-group type is No. 166. The calculation puts the total energy at -18.2 eV per cell. The formation energy is -351 meV per atom. For the volume, the calculation gives 116.88 Å³/cell.

Material: SnWN3
Method: DFT, GGA-PBE
State: optimized geometry

Cell lengths 4.0099, 4.0099, 4.0099 Å; angles 90.00, 90.00, 90.00 degrees
Last column: nearest neighbours and their distance in Å.
Positions (direct):
1 Sn 0.5000 0.5000 0.5000  12 N 2.84
2 N 0.5000 0.0000 0.0000  2 W 2.00
3 W 0.0000 0.0000 0.0000  6 N 2.00
4 N 0.0000 0.0000 0.5000  2 W 2.00
5 N 0.0000 0.5000 0.0000  2 W 2.00

Summary:
The space-group type is No. 221. The calculation puts the total energy at -40.2 eV per cell. For the volume, the calculation gives 64.48 Å³/cell.

Material: CaHo2Al
Method: DFT, GGA-PBE
State: optimized geometry

Cell lengths 3.5474, 3.5474, 11.5636 Å; angles 81.18, 81.18, 60.00 degrees
Last column: nearest neighbours and their distance in Å.
Positions (direct):
1 Ho 0.8986 0.8986 0.3043  3 Al 3.03
2 Ca 0.0000 0.0000 0.0000  2 Ho 3.46, 6 Ca 3.55
3 Al 0.5000 0.5000 0.5000  6 Ho 3.03
4 Ho 0.1014 0.1014 0.6957  3 Al 3.03

Summary:
The space-group type is No. 166. The calculation puts the total energy at -14.6 eV per cell. The formation energy is 83 meV per atom. The energy relative to the lowest polymorph listed for this composition is 0.2283 eV/atom. For the volume, the calculation gives 124.03 Å³/cell.

Material: PrBi5
Method: DFT, GGA-PBE
State: optimized geometry

Cell lengths 4.7741, 4.7905, 8.6898 Å; angles 106.00, 90.00, 90.00 degrees
Last column: nearest neighbours and their distance in Å.
Positions (direct):
1 Bi 0.5000 0.5000 0.0000  4 Pr 3.38, 8 Bi 3.53-3.68
2 Pr 0.0000 0.0000 0.0000  12 Bi 3.38-3.68
3 Bi 0.0000 0.6558 0.3116  6 Bi 3.39-3.53, 2 Pr 3.54
4 Bi 0.5000 0.8325 0.6650  8 Bi 3.39-3.68, 2 Pr 3.68
5 Bi 0.5000 0.1675 0.3350  8 Bi 3.39-3.68, 2 Pr 3.68
6 Bi 0.0000 0.3442 0.6884  6 Bi 3.39-3.53, 2 Pr 3.54

Summary:
The space-group type is No. 65. The calculation puts the total energy at -25.8 eV per cell. The formation energy is -275 meV per atom. For the volume, the calculation gives 191.04 Å³/cell.

Material: InNi4H
Method: DFT, GGA-PBE
State: optimized geometry

Cell lengths 3.4943, 3.4944, 5.8499 Å; angles 90.00, 89.99, 90.00 degrees
Last column: nearest neighbours and their distance in Å.
Positions (direct):
1 In 0.5000 0.0000 0.0000  8 Ni 2.73
2 Ni 0.9999 0.5000 0.8019  1 H 1.77
3 Ni 0.0001 0.5000 0.1981  1 H 1.77
4 H 0.0000 0.5000 0.5000  6 Ni 1.75-1.77
5 Ni 0.5000 0.5000 0.5000  2 H 1.75
6 Ni 0.0000 0.0000 0.5000  2 H 1.75

Summary:
The space-group type is No. 123. The calculation puts the total energy at -28.5 eV per cell. For the volume, the calculation gives 71.43 Å³/cell.

Material: Pd7Pt2Au2
Method: DFT, GGA-PBE
State: optimized geometry

Cell lengths 6.2718, 4.9541, 6.2718 Å; angles 99.69, 100.03, 80.31 degrees
Last column: nearest neighbours and their distance in Å.
Positions (direct):
1 Au 0.2405 0.2433 0.7595  9 Pd 2.67-2.91, 2 Pt 2.82
2 Pd 0.5236 0.2401 0.4764  4 Pd 2.52-2.72, 1 Au 2.72, 2 Pt 2.82
3 Pd 0.0634 0.7491 0.5959  3 Au 2.67-2.85, 5 Pd 2.69-2.88, 2 Pt 2.79-2.83
4 Pd 0.0000 0.0000 0.0000  4 Pd 2.69, 2 Au 2.83, 4 Pt 2.90
5 Pd 0.9366 0.2509 0.4041  3 Au 2.67-2.85, 5 Pd 2.69-2.88, 2 Pt 2.79-2.83
6 Au 0.7595 0.7567 0.2405  9 Pd 2.67-2.91, 2 Pt 2.82
7 Pd 0.4764 0.7599 0.5236  4 Pd 2.52-2.72, 1 Au 2.72, 2 Pt 2.82
8 Pt 0.1873 0.5000 0.1873  8 Pd 2.79-2.90, 2 Au 2.82, 1 Pt 3.02
9 Pd 0.5959 0.2509 0.0634  3 Au 2.67-2.85, 5 Pd 2.69-2.88, 2 Pt 2.79-2.83
10 Pt 0.8127 0.5000 0.8127  8 Pd 2.79-2.90, 2 Au 2.82, 1 Pt 3.02
11 Pd 0.4041 0.7491 0.9366  3 Au 2.67-2.85, 5 Pd 2.69-2.88, 2 Pt 2.79-2.83

Summary:
The space-group type is No. 12. The calculation puts the total energy at -52.8 eV per cell. The formation energy is 194 meV per atom. The energy relative to the lowest polymorph listed for this composition is 0.0611 eV/atom. For the volume, the calculation gives 187.21 Å³/cell.

Material: K3LiH
Method: DFT, GGA-PBE
State: optimized geometry

Cell lengths 5.8471, 5.8471, 5.8471 Å; angles 90.00, 90.00, 90.00 degrees
Last column: nearest neighbours and their distance in Å.
Positions (direct):
1 Li 0.5000 0.5000 0.5000  12 K 4.13
2 H 0.0000 0.0000 0.0000  6 K 2.92
3 K 0.0000 0.0000 0.5000  2 H 2.92
4 K 0.0000 0.5000 0.0000  2 H 2.92
5 K 0.5000 0.0000 0.0000  2 H 2.92

Summary:
The space-group type is No. 221. The calculation puts the total energy at -8.3 eV per cell. For the volume, the calculation gives 199.90 Å³/cell.

Material: CdMoAs2
Method: DFT, GGA-PBE
State: optimized geometry

Cell lengths 7.1909, 7.1909, 3.6339 Å; angles 75.35, 75.35, 26.01 degrees
Last column: nearest neighbours and their distance in Å.
Positions (direct):
1 Cd 0.5546 0.5546 0.4451  6 As 2.90-2.93, 2 Cd 3.24
2 As 0.9339 0.9339 0.0658  2 Mo 2.53
3 Mo 0.2902 0.2902 0.2101  6 As 2.53-2.61
4 As 0.7214 0.7214 0.7790  4 Mo 2.61, 2 Cd 2.90

Summary:
The space-group type is No. 44. The calculation puts the total energy at -20.8 eV per cell. The formation energy is 64 meV per atom. For the volume, the calculation gives 79.59 Å³/cell.

Material: Li3GeTe2
Method: DFT, GGA-PBE
State: optimized geometry

Cell lengths 7.1164, 5.9960, 8.3719 Å; angles 110.98, 115.15, 90.00 degrees
Last column: nearest neighbours and their distance in Å.
Positions (direct):
1 Li 0.2236 0.4736 0.4471  4 Te 2.80-2.84, 2 Li 3.00
2 Li 0.7764 0.0264 0.5529  4 Te 2.80-2.84, 2 Li 3.00
3 Li 0.5000 0.7500 0.0000  4 Te 2.86, 2 Li 3.00
4 Ge 0.0000 0.0000 0.0000  2 Te 2.89, 2 Ge 3.00
5 Te 0.1572 0.8590 0.7181  6 Li 2.80-2.86, 1 Ge 2.89
6 Li 0.7764 0.5264 0.5529  4 Te 2.80-2.84, 2 Li 3.00
7 Te 0.8428 0.1410 0.2819  6 Li 2.80-2.86, 1 Ge 2.89
8 Li 0.2236 0.9736 0.4471  4 Te 2.80-2.84, 2 Li 3.00
9 Te 0.5609 0.3590 0.7181  6 Li 2.80-2.86, 1 Ge 2.89
10 Ge 0.0000 0.5000 0.0000  2 Te 2.89, 2 Ge 3.00
11 Te 0.4391 0.6410 0.2819  6 Li 2.80-2.86, 1 Ge 2.89
12 Li 0.5000 0.2500 0.0000  4 Te 2.86, 2 Li 3.00

Summary:
The space-group type is No. 72. The calculation puts the total energy at -39.7 eV per cell. For the volume, the calculation gives 296.98 Å³/cell.

Material: PuPaCl
Method: DFT, GGA-PBE
State: optimized geometry

Cell lengths 3.5749, 4.3729, 12.3078 Å; angles 117.64, 98.35, 90.00 degrees
Last column: nearest neighbours and their distance in Å.
Positions (direct):
1 Pu 0.2619 0.1931 0.5237  2 Pu 2.34, 1 Pa 2.58
2 Pa 0.1713 0.3427 0.3426  3 Pu 2.58-2.62, 2 Cl 2.76
3 Pa 0.8287 0.6573 0.6574  3 Pu 2.58-2.62, 2 Cl 2.76
4 Pu 0.7381 0.8069 0.4763  2 Pu 2.34, 1 Pa 2.58
5 Cl 0.4210 0.0532 0.8419  2 Pa 2.76
6 Cl 0.5790 0.9468 0.1581  2 Pa 2.76

Summary:
The space-group type is No. 12. The calculation puts the total energy at -54.3 eV per cell. For the volume, the calculation gives 168.13 Å³/cell.

Material: Nd5CoBi2
Method: DFT, GGA-PBE
State: optimized geometry

Cell lengths 5.7471, 8.8133, 13.5846 Å; angles 90.00, 90.00, 109.03 degrees
Last column: nearest neighbours and their distance in Å.
Positions (direct):
1 Nd 0.0531 0.1062 0.1132  1 Co 2.62
2 Nd 0.9469 0.8938 0.8868  1 Co 2.62
3 Nd 0.9469 0.8938 0.6132  1 Co 2.62
4 Nd 0.6890 0.3780 0.2500  2 Co 2.90
5 Nd 0.2750 0.5501 0.3993  1 Co 2.74
6 Nd 0.0531 0.1062 0.3868  1 Co 2.62
7 Bi 0.8563 0.7127 0.4023  6 Nd 3.18-3.47
8 Co 0.8358 0.6715 0.7500  6 Nd 2.62-2.90
9 Nd 0.3110 0.6220 0.7500  2 Co 2.90
10 Bi 0.1437 0.2873 0.5977  6 Nd 3.18-3.47
11 Co 0.1642 0.3285 0.2500  6 Nd 2.62-2.90
12 Nd 0.7250 0.4499 0.6007  1 Co 2.74
13 Bi 0.1437 0.2873 0.9023  6 Nd 3.18-3.47
14 Nd 0.2750 0.5501 0.1007  1 Co 2.74
15 Nd 0.7250 0.4499 0.8993  1 Co 2.74
16 Bi 0.8563 0.7127 0.0977  6 Nd 3.18-3.47

Summary:
The space-group type is No. 63. The calculation puts the total energy at -79.4 eV per cell. The formation energy is -125 meV per atom. For the volume, the calculation gives 650.48 Å³/cell.

Material: CaGeMo2
Method: DFT, GGA-PBE
State: optimized geometry

Cell lengths 4.3935, 4.3935, 9.9828 Å; angles 77.29, 77.29, 90.00 degrees
Last column: nearest neighbours and their distance in Å.
Positions (direct):
1 Mo 0.7766 0.1250 0.2500  2 Mo 2.36
2 Mo 0.8750 0.0266 0.7500  2 Mo 2.36
3 Ca 0.2500 0.7500 0.5000  4 Ge 3.11, 4 Mo 3.15
4 Ge 0.0000 0.0000 0.0000  4 Mo 2.65
5 Ge 0.7500 0.2500 0.5000  4 Mo 2.65
6 Ca 0.5000 0.5000 0.0000  4 Ge 3.11, 4 Mo 3.15
7 Mo 0.3750 0.2234 0.7500  2 Mo 2.36
8 Mo 0.9734 0.6250 0.2500  2 Mo 2.36

Summary:
The space-group type is No. 122. The calculation puts the total energy at -51.6 eV per cell. The formation energy is 619 meV per atom. For the volume, the calculation gives 183.13 Å³/cell.

Material: MgNiBr
Method: DFT, GGA-PBE
State: optimized geometry

Cell lengths 5.7643, 5.7564, 3.2279 Å; angles 73.86, 73.59, 32.54 degrees
Last column: nearest neighbours and their distance in Å.
Positions (direct):
1 Ni 0.3229 0.3229 0.6771  4 Mg 2.70-2.72, 4 Br 2.90-2.91
2 Mg 0.6845 0.6845 0.3155  4 Ni 2.70-2.72
3 Br 0.9926 0.9926 0.0074  4 Ni 2.90-2.91, 4 Mg 3.05-3.06, 4 Br 3.23

Summary:
The space-group type is No. 42. The calculation puts the total energy at -9.0 eV per cell. The energy relative to the lowest polymorph listed for this composition is 0.0724 eV/atom. For the volume, the calculation gives 55.11 Å³/cell.

Material: RbP2Pb2O7
Method: DFT, GGA-PBE
State: optimized geometry

Cell lengths 5.6453, 5.6453, 8.6121 Å; angles 70.87, 70.87, 60.00 degrees
Last column: nearest neighbours and their distance in Å.
Positions (direct):
1 O 0.8549 0.3712 0.7433  1 P 1.54
2 P 0.9314 0.9314 0.2058  4 O 1.54-1.64
3 Pb 0.6910 0.6910 0.9269  3 O 2.42
4 Rb 0.5000 0.5000 0.5000  6 O 3.04
5 O 0.6288 0.1451 0.2567  1 P 1.54
6 O 0.1451 0.9694 0.2567  1 P 1.54
7 O 0.0306 0.8549 0.7433  1 P 1.54
8 Pb 0.3090 0.3090 0.0731  3 O 2.42
9 O 0.0000 0.0000 0.0000  2 P 1.64
10 O 0.3712 0.0306 0.7433  1 P 1.54
11 P 0.0686 0.0686 0.7942  4 O 1.54-1.64
12 O 0.9694 0.6288 0.2567  1 P 1.54

Summary:
The space-group type is No. 155. The calculation puts the total energy at -75.9 eV per cell. For the volume, the calculation gives 220.01 Å³/cell.